# PBE AcCu8Ni4, optimized geometry
data_AcCu8Ni4
_chemical_formula_sum 'Ac2 Cu16 Ni8'
_symmetry_space_group_name_H-M 'I 4/m m m'
_symmetry_Int_Tables_number 139
_symmetry_space_group_name_Hall '-I 4 2'
_cell_length_a 8.514
_cell_length_b 8.514
_cell_length_c 4.878
_cell_angle_alpha 90.00
_cell_angle_beta 90.00
_cell_angle_gamma 90.00
loop_
_atom_site_label
_atom_site_fract_x
_atom_site_fract_y
_atom_site_fract_z
Ac1 0.000 0.000 0.000
Cu1 0.000 0.237 0.500
Cu2 0.000 0.355 0.000
Ni1 0.250 0.250 0.250
# N(E_F) (states/eV per atom): 0.63
# ρ (Mg/m³): 9.1
# Energy relative to the elements (eV per atom): -0.073

=====

# PBE Ac4CuNi2, optimized geometry
data_Ac4CuNi2
_chemical_formula_sum 'Ac8 Cu2 Ni4'
_symmetry_space_group_name_H-M 'C 1 2/m 1'
_symmetry_Int_Tables_number 12
_cell_length_a 16.710
_cell_length_b 4.219
_cell_length_c 6.555
_cell_angle_alpha 90.00
_cell_angle_beta 111.38
_cell_angle_gamma 90.00
loop_
_symmetry_equiv_pos_as_xyz
'x,y,z'
'-x,-y,-z'
'-x,y,-z'
'x,-y,z'
'x+1/2,y+1/2,z'
'-x+1/2,-y+1/2,-z'
'-x+1/2,y+1/2,-z'
'x+1/2,-y+1/2,z'
loop_
_atom_site_label
_atom_site_fract_x
_atom_site_fract_y
_atom_site_fract_z
Ac1 0.110 0.000 0.208
Ac2 0.151 0.500 0.739
Cu1 0.000 0.000 0.500
Ni1 0.237 0.500 0.376
# N(E_F) (states/eV per atom): 1.05
# ρ (Mg/m³): 8.4
# Energy relative to the elements (eV per atom): -0.110